1.
A plane-wave DFT calculation with PBE was carried out for a relaxed structure of B3C.

Cell and atoms, written as extended XYZ:
```
12
Lattice="4.4170 -1.3762 0.0000 4.4170 1.3762 0.0000 -3.2751 0.0000 6.9161" Properties=species:S:1:pos:R:3 pbc="T T T"
B 0.0000 0.0000 0.0000
B 0.1632 0.0000 4.0862
B 1.1339 0.0000 5.5454
B 3.8230 0.0000 1.4700
B 2.8258 0.0000 4.6115
B 2.8497 0.0000 6.3480
B 4.9798 0.0000 2.7064
B 4.5453 0.0000 5.4906
B 6.7497 0.0000 2.4036
C -1.4659 0.0000 3.8395
C 1.6014 0.0000 0.2293
C 2.2590 0.0000 1.5435
```

Calculated values
Total DFT energy (no corrections) in eV per atom: -6.883

=====

2.
A plane-wave DFT calculation with PBE was carried out for a relaxed structure of BC.

Cell and atoms, written as extended XYZ:
```
12
Lattice="4.8127 0.0000 0.0000 0.0000 2.5481 0.0000 -0.5253 0.0000 6.6697" Properties=species:S:1:pos:R:3 pbc="T T T"
B 0.0000 0.0000 0.0000
B 0.0814 1.2740 4.3864
B 1.1610 0.0000 3.7087
B 1.4826 1.2740 6.6319
B 2.2865 0.0000 5.7093
B 3.6183 1.2740 2.0732
C -0.0374 1.2740 5.9878
C 1.2473 0.0000 2.0325
C 2.0139 1.2740 1.6073
C 2.7202 0.0000 4.2113
C 3.4008 1.2740 3.7763
C 4.5525 0.0000 1.5745
```

Calculated values
Total DFT energy (no corrections) in eV per atom: -7.556

=====

3.
A plane-wave DFT calculation with PBE was carried out for a relaxed structure of BC.

Cell and atoms, written as extended XYZ:
```
12
Lattice="3.5930 0.0000 0.0000 -1.5634 4.3506 0.0000 -0.2595 -1.8449 5.1271" Properties=species:S:1:pos:R:3 pbc="T T T"
B 0.0000 0.0000 0.0000
B -1.0902 2.2681 2.0862
B -0.9894 1.1978 4.2671
B -0.0865 3.1130 0.6727
B 0.8622 1.6267 0.0423
B 0.9291 3.0610 3.5526
C -0.1259 -0.6333 2.2204
C -0.0153 1.7576 3.1499
C 0.7596 0.5321 2.6856
C 1.6296 0.9989 1.4616
C 1.5826 0.0497 3.8953
C 2.5319 -0.1787 1.1342
```

Calculated values
Total DFT energy (no corrections) in eV per atom: -7.574

=====

| no. | ρ (kg/m3) | excess energy over the best structure of this formula in the dataset (eV per atom) | E_form (eV/atom) |
| --- | --- | --- | --- |
| 1 | 2633 | 0.191 | 0.4314 |
| 2 | 2780 | 0.244 | 0.3948 |
| 3 | 2837 | 0.226 | 0.3766 |